Material: BaLi2Ca3
Method: DFT, PBE
State: optimized geometry

Output
* space group: P2_1/m
* total DFT energy (no corrections): -1.925 eV/atom
* density: 1.9 g cm⁻³
* calculated volume: 38.7 A^3/atom
* energy relative to the elements: 0.034 eV per atom
* energy above the lowest structure with this stoichiometry: 0 meV/atom

Cell and atoms, written as CIF:
```
data_BaLi2Ca3
_chemical_formula_sum 'Ba2 Li4 Ca6'
_space_group_name_H-M_alt 'P 1'
_space_group_IT_number 1
_cell_length_a 8.050
_cell_length_b 6.853
_cell_length_c 8.412
_cell_angle_alpha 90.00
_cell_angle_beta 91.28
_cell_angle_gamma 90.00
loop_
_space_group_symop_operation_xyz
'x,y,z'
loop_
_atom_site_label
_atom_site_fract_x
_atom_site_fract_y
_atom_site_fract_z
Ba1 0.107 0.250 0.092
Ba2 0.893 0.750 0.908
Li1 0.264 0.514 0.741
Li2 0.264 0.986 0.741
Li3 0.736 0.014 0.259
Li4 0.736 0.486 0.259
Ca1 0.082 0.750 0.415
Ca2 0.415 0.750 0.092
Ca3 0.422 0.250 0.441
Ca4 0.578 0.750 0.559
Ca5 0.585 0.250 0.908
Ca6 0.918 0.250 0.585
```